(1)
VASP calculation (PBE-GGA) on a geometry-optimized La7Y12Mg structure.

```
data_La7Y12Mg
_cell_length_a 8.831
_cell_length_b 8.831
_cell_length_c 8.831
_cell_angle_alpha 88.14
_cell_angle_beta 88.14
_cell_angle_gamma 88.14
_symmetry_space_group_name_H-M 'P 1'
_symmetry_Int_Tables_number 1
loop_
_symmetry_equiv_pos_as_xyz
'x,y,z'
loop_
_atom_site_label
_atom_site_fract_x
_atom_site_fract_y
_atom_site_fract_z
La1 0.235 0.646 0.779
La2 0.354 0.221 0.765
La3 0.221 0.765 0.354
La4 0.500 0.500 0.500
La5 0.779 0.235 0.646
La6 0.646 0.779 0.235
La7 0.765 0.354 0.221
Y1 0.012 0.344 0.895
Y2 0.656 0.105 0.988
Y3 0.438 0.112 0.348
Y4 0.888 0.652 0.562
Y5 0.105 0.988 0.656
Y6 0.652 0.562 0.888
Y7 0.348 0.438 0.112
Y8 0.895 0.012 0.344
Y9 0.112 0.348 0.438
Y10 0.562 0.888 0.652
Y11 0.344 0.895 0.012
Y12 0.988 0.656 0.105
Mg1 0.000 0.000 0.000
```

- DFT total energy (eV/atom) = -5.50
- space group = R-3, No. 148
- DFT formation energy (eV/atom) = 0.19

=====

(2)
VASP calculation (PBE-GGA) on a geometry-optimized La3YMg structure.

```
data_La3YMg
_cell_length_a 5.405
_cell_length_b 6.472
_cell_length_c 10.678
_cell_angle_alpha 95.93
_cell_angle_beta 90.00
_cell_angle_gamma 114.68
_symmetry_space_group_name_H-M 'P 1'
_symmetry_Int_Tables_number 1
loop_
_symmetry_equiv_pos_as_xyz
'x,y,z'
loop_
_atom_site_label
_atom_site_fract_x
_atom_site_fract_y
_atom_site_fract_z
La1 0.915 0.830 0.126
La2 0.085 0.170 0.874
La3 0.767 0.534 0.770
La4 0.233 0.466 0.230
La5 0.844 0.687 0.449
La6 0.156 0.313 0.551
Y1 0.465 0.929 0.659
Y2 0.535 0.071 0.341
Mg1 0.377 0.755 0.942
Mg2 0.623 0.245 0.058
```

- polymorph energy (0 for the lowest one) (meV per atom) = 11
- DFT total energy (eV/atom) = -4.57
- space group = C2/m, No. 12
- DFT formation energy (eV/atom) = -0.01

=====

(3)
VASP calculation (PBE-GGA) on a geometry-optimized LaYMg structure.

```
data_LaYMg
_cell_length_a 6.375
_cell_length_b 3.676
_cell_length_c 10.393
_cell_angle_alpha 57.96
_cell_angle_beta 65.13
_cell_angle_gamma 73.29
_symmetry_space_group_name_H-M 'P 1'
_symmetry_Int_Tables_number 1
loop_
_symmetry_equiv_pos_as_xyz
'x,y,z'
loop_
_atom_site_label
_atom_site_fract_x
_atom_site_fract_y
_atom_site_fract_z
La1 0.954 0.909 0.744
La2 0.499 0.376 0.585
Y1 0.416 0.361 0.955
Y2 0.038 0.923 0.373
Mg1 0.524 0.374 0.244
Mg2 0.931 0.910 0.084
```

- polymorph energy (0 for the lowest one) (meV per atom) = 37
- DFT total energy (eV/atom) = -4.35
- space group = C2/m, No. 12
- DFT formation energy (eV/atom) = -0.02

=====

(4)
VASP calculation (PBE-GGA) on a geometry-optimized La2YMg structure.

```
data_La2YMg
_cell_length_a 6.829
_cell_length_b 6.829
_cell_length_c 5.765
_cell_angle_alpha 64.95
_cell_angle_beta 64.95
_cell_angle_gamma 33.22
_symmetry_space_group_name_H-M 'P 1'
_symmetry_Int_Tables_number 1
loop_
_symmetry_equiv_pos_as_xyz
'x,y,z'
loop_
_atom_site_label
_atom_site_fract_x
_atom_site_fract_y
_atom_site_fract_z
Y1 0.774 0.774 0.722
Mg1 0.494 0.494 0.511
La1 0.003 0.003 0.001
La2 0.229 0.229 0.266
```

- DFT total energy (eV/atom) = -4.51
- space group = Cm, No. 8
- DFT formation energy (eV/atom) = -0.03

=====

(5)
VASP calculation (PBE-GGA) on a geometry-optimized La15Y4Mg structure.

```
data_La15Y4Mg
_cell_length_a 5.201
_cell_length_b 5.201
_cell_length_c 26.102
_cell_angle_alpha 90.00
_cell_angle_beta 90.00
_cell_angle_gamma 90.00
_symmetry_space_group_name_H-M 'P 1'
_symmetry_Int_Tables_number 1
loop_
_symmetry_equiv_pos_as_xyz
'x,y,z'
loop_
_atom_site_label
_atom_site_fract_x
_atom_site_fract_y
_atom_site_fract_z
La1 0.500 0.500 0.000
La2 0.500 0.500 0.198
La3 0.500 0.500 0.399
La4 0.500 0.500 0.601
La5 0.500 0.500 0.802
La6 0.500 0.000 0.098
La7 0.500 0.000 0.299
La8 0.500 0.000 0.500
La9 0.500 0.000 0.701
La10 0.500 0.000 0.902
La11 0.000 0.500 0.098
La12 0.000 0.500 0.299
La13 0.000 0.500 0.500
La14 0.000 0.500 0.701
La15 0.000 0.500 0.902
Y1 0.000 0.000 0.198
Y2 0.000 0.000 0.400
Y3 0.000 0.000 0.600
Y4 0.000 0.000 0.802
Mg1 0.000 0.000 0.000
```

- DFT total energy (eV/atom) = -5.07
- space group = P4/mmm, No. 123
- DFT formation energy (eV/atom) = 0.00

=====

(6)
VASP calculation (PBE-GGA) on a geometry-optimized La2YMg4 structure.

```
data_La2YMg4
_cell_length_a 5.452
_cell_length_b 5.452
_cell_length_c 8.541
_cell_angle_alpha 71.39
_cell_angle_beta 71.39
_cell_angle_gamma 60.00
_symmetry_space_group_name_H-M 'P 1'
_symmetry_Int_Tables_number 1
loop_
_symmetry_equiv_pos_as_xyz
'x,y,z'
loop_
_atom_site_label
_atom_site_fract_x
_atom_site_fract_y
_atom_site_fract_z
La1 0.716 0.716 0.852
La2 0.284 0.284 0.148
Y1 0.000 0.000 0.000
Mg1 0.864 0.864 0.409
Mg2 0.136 0.136 0.591
Mg3 0.568 0.568 0.297
Mg4 0.432 0.432 0.703
```

- DFT total energy (eV/atom) = -3.20
- space group = R-3m, No. 166
- DFT formation energy (eV/atom) = 0.05

=====

(7)
VASP calculation (PBE-GGA) on a geometry-optimized La4YMg2 structure.

```
data_La4YMg2
_cell_length_a 5.641
_cell_length_b 5.641
_cell_length_c 9.034
_cell_angle_alpha 71.81
_cell_angle_beta 71.81
_cell_angle_gamma 60.00
_symmetry_space_group_name_H-M 'P 1'
_symmetry_Int_Tables_number 1
loop_
_symmetry_equiv_pos_as_xyz
'x,y,z'
loop_
_atom_site_label
_atom_site_fract_x
_atom_site_fract_y
_atom_site_fract_z
La1 0.844 0.844 0.467
La2 0.156 0.156 0.533
La3 0.576 0.576 0.271
La4 0.424 0.424 0.729
Y1 0.000 0.000 0.000
Mg1 0.710 0.710 0.870
Mg2 0.290 0.290 0.130
```

- DFT total energy (eV/atom) = -4.20
- space group = R-3m, No. 166
- DFT formation energy (eV/atom) = -0.01

=====

(8)
VASP calculation (PBE-GGA) on a geometry-optimized La3Y2Mg3 structure.

```
data_La3Y2Mg3
_cell_length_a 3.851
_cell_length_b 5.676
_cell_length_c 12.006
_cell_angle_alpha 103.67
_cell_angle_beta 99.23
_cell_angle_gamma 90.00
_symmetry_space_group_name_H-M 'P 1'
_symmetry_Int_Tables_number 1
loop_
_symmetry_equiv_pos_as_xyz
'x,y,z'
loop_
_atom_site_label
_atom_site_fract_x
_atom_site_fract_y
_atom_site_fract_z
La1 0.374 0.374 0.749
La2 0.626 0.626 0.251
La3 0.500 0.000 0.000
Y1 0.264 0.764 0.529
Y2 0.736 0.236 0.471
Mg1 0.879 0.879 0.758
Mg2 0.000 0.500 0.000
Mg3 0.121 0.121 0.242
```

- DFT total energy (eV/atom) = -4.14
- space group = Immm, No. 71
- DFT formation energy (eV/atom) = -0.08